# 1
Compound: Cr3TcSb
Source: the Alexandria database
Functional: PBEsol
Structure: optimized geometry

- Formation energy (no corrections): 1.260 eV/atom
- E_tot: -40.25 eV/f.u.
- Calculated volume: 96.4 Å³/cell

Cell: 4.5855 4.5855 4.5855 Å, 90.00 90.00 90.00°
Closest atoms and distances in Å follow each position.
Fractional positions:
Sb  0.5000  0.5000  0.5000  12 Cr 3.24
Tc  0.0000  0.0000  0.0000  6 Cr 2.29
Cr  0.0000  0.5000  0.0000  2 Tc 2.29
Cr  0.0000  0.0000  0.5000  2 Tc 2.29
Cr  0.5000  0.0000  0.0000  2 Tc 2.29

# 2
Compound: CrTc2Sb
Source: the Alexandria database
Functional: PBEsol
Structure: optimized geometry

- Formation energy (no corrections): 0.261 eV/atom
- E_tot: -36.29 eV/f.u.
- Calculated volume: 59.4 Å³/cell

Cell: 3.8172 3.8172 4.8888 Å, 112.98 112.98 90.00°
Closest atoms and distances in Å follow each position.
Fractional positions:
Cr  0.5000  0.5000  0.0000  8 Tc 2.70-2.79, 4 Sb 2.79
Sb  0.2500  0.7500  0.5000  8 Tc 2.70-2.79, 4 Cr 2.79
Tc  0.0000  0.0000  0.0000  4 Cr 2.70, 4 Tc 2.79, 4 Sb 2.79
Tc  0.7500  0.2500  0.5000  4 Sb 2.70, 4 Cr 2.79, 4 Tc 2.79